[1]
Pd14C: optimized geometry, PBE.

It has space group R-3m (No. 166, hexagonal axes), with a = 8.0019 Å, b = 8.0019 Å, c = 13.3806 Å, α = 90.00°, β = 90.00° and γ = 120.00°. The asymmetric unit holds Pd at (0.0000, 0.0000, 0.1380), Pd at (0.0000, 0.3240, 0.5000), Pd at (0.1043, 0.5522, 0.3364) and C at (0.0000, 0.0000, 0.0000).

Its crystal system is trigonal. The calculation puts the electronic total energy at -75.14 eV/f.u.

=====

[2]
PdPt3C2: optimized geometry, PBE.

It has space group Pm (No. 6), with a = 4.312 Å, b = 3.293 Å, c = 5.533 Å, α = 90.00°, β = 91.42° and γ = 90.00°. The asymmetric unit holds Pd at (0.000, 0.000, 0.000), Pt at (0.033, 0.500, 0.497), Pt at (0.497, 0.500, 0.851), Pt at (0.529, 0.000, 0.343), C at (0.280, 0.000, 0.667) and C at (0.749, 0.500, 0.180).

Its crystal system is monoclinic. The calculation puts the electronic total energy at -38.55 eV/f.u. As for the spin magnetization: 0.00 μB per formula unit.

=====

[3]
Pd3PtC2: optimized geometry, PBE.

It has space group Pm (No. 6), with a = 4.531 Å, b = 3.220 Å, c = 5.316 Å, α = 90.00°, β = 91.39° and γ = 90.00°. The asymmetric unit holds Pd at (0.000, 0.000, 0.000), Pd at (0.037, 0.500, 0.492), Pd at (0.501, 0.500, 0.149), Pt at (0.541, 0.000, 0.646), C at (0.276, 0.000, 0.327) and C at (0.756, 0.500, 0.817).

Its crystal system is monoclinic. The calculation puts the electronic total energy at -37.28 eV/f.u. As for the spin magnetization: 0.00 μB per formula unit.

=====

[4]
TePd2CS: optimized geometry, PBE.

It has space group P3m1 (No. 156), with a = 3.3603 Å, b = 3.3603 Å, c = 9.4692 Å, α = 90.00°, β = 90.00° and γ = 120.00°. The asymmetric unit holds Te at (0.0000, 0.0000, 0.0000), Pd at (0.0000, 0.0000, 0.5501), Pd at (0.3333, 0.6667, 0.7834), C at (0.6667, 0.3333, 0.6580) and S at (0.3333, 0.6667, 0.3939).

Its crystal system is trigonal. The calculation puts the electronic total energy at -24.01 eV/f.u.

=====

[5]
SbPd3C: optimized geometry, PBE.

It has space group Cmcm (No. 63), with a = 3.204 Å, b = 12.971 Å, c = 7.651 Å, α = 90.00°, β = 90.00° and γ = 90.00°. The asymmetric unit holds Sb at (0.000, 0.249, 0.250), Pd at (0.000, 0.105, 0.555), Pd at (0.000, 0.443, 0.750) and C at (0.000, 0.500, 0.000).

Its crystal system is orthorhombic. The calculation puts the electronic total energy at -27.94 eV/f.u.

=====

[6]
Sc3PdC: optimized geometry, PBE.

It has space group Pm-3m (No. 221), with a = 4.470 Å, b = 4.470 Å, c = 4.470 Å, α = 90.00°, β = 90.00° and γ = 90.00°. The asymmetric unit holds Sc at (0.000, 0.000, 0.500), Pd at (0.500, 0.500, 0.500) and C at (0.000, 0.000, 0.000).

Its crystal system is cubic. The calculation puts the electronic total energy at -36.17 eV/f.u. As for the spin magnetization: 0.00 μB per formula unit.